Below is a relaxed structure of Hf7ZrSn4, with properties calculated at the PBE level.

abc: 6.1789 6.1789 10.9425
angles: 115.47 115.47 50.30
Sites, in units of the cell vectors:
Hf 0.0000 0.0000 0.0000
Hf 0.1502 0.1502 0.5454
Hf 0.2874 0.2874 0.0901
Hf 0.4658 0.4658 0.6249
Hf 0.5342 0.5342 0.3751
Hf 0.7126 0.7126 0.9099
Hf 0.8498 0.8498 0.4546
Zr 0.5000 0.5000 0.0000
Sn 0.0976 0.0976 0.7817
Sn 0.2141 0.2141 0.3157
Sn 0.7859 0.7859 0.6843
Sn 0.9024 0.9024 0.2183

Calculated values
For the formation enthalpy at 0 K, the calculation gives 108 meV/atom. As for the total energy: -7.745 eV per atom. The value obtained for the spin magnetization is 0.0 μB per cell.